[1]
A plane-wave DFT calculation with GGA-PBE was carried out for a geometry-optimized KTaAs4 structure.

Summary:
energy relative to the elements = 346 kJ/mol of formula units
space group = F-43m
volume = 21.09 A^3/atom
raw total energy = -27.97 eV per cell
N(E_F) = 2.92 states/eV per cell

Cell and atoms, written as POSCAR:
```
KTaAs4
1.0
0.000 3.985 3.985
3.985 0.000 3.985
3.985 3.985 0.000
K Ta As
1 1 4
Direct
0.000 0.000 0.000
0.750 0.750 0.750
0.377 0.377 0.377
0.377 0.377 0.868
0.377 0.868 0.377
0.868 0.377 0.377
```

=====

[2]
A plane-wave DFT calculation with GGA-PBE was carried out for a geometry-optimized Li2Pr5 structure.

Summary:
energy relative to the elements = 23 kJ/mol of formula units
space group = I4/mmm
volume = 31.72 A^3/atom
raw total energy = -27.48 eV per cell
N(E_F) = 7.70 states/eV per cell

Cell and atoms, written as POSCAR:
```
Li2Pr5
1.0
-1.857 1.857 16.090
1.857 -1.857 16.090
1.857 1.857 -16.090
Li Pr
2 5
Direct
0.230 0.230 0.000
0.770 0.770 0.000
0.083 0.083 0.000
0.339 0.339 0.000
0.500 0.500 0.000
0.661 0.661 0.000
0.917 0.917 0.000
```